[1]
Entry from the Alexandria database: Ac2AgC2 after structural relaxation (PBE).

Cell lengths 15.4400, 4.4462, 7.4358 Å; angles 90.00, 102.70, 90.00 degrees
Space group C2/c (No. 15)
One atom of each set of equivalent atoms:
Ac: 0.1459 0.1763 0.1342 (multiplicity 8)
Ag: 0.0000 0.3549 0.7500 (multiplicity 4)
C: 0.2287 0.3656 0.5276 (multiplicity 8)

Results
* energy of formation: -0.49 eV/f.u.

***

[2]
Entry from the Alexandria database: KCaIn2Pt after structural relaxation (PBE).

Cell lengths 5.3164, 5.3164, 5.5373 Å; angles 90.00, 90.00, 90.00 degrees
Space group P4/mmm (No. 123)
One atom of each set of equivalent atoms:
K: 0.0000 0.0000 0.0000 (multiplicity 1)
Ca: 0.5000 0.5000 0.0000 (multiplicity 1)
In: 0.0000 0.5000 0.5000 (multiplicity 2)
Pt: 0.5000 0.5000 0.5000 (multiplicity 1)

Results
* energy of formation: -1.77 eV/f.u.

***

[3]
Entry from the Alexandria database: YMoPb2 after structural relaxation (PBE).

Cell lengths 3.7141, 5.6037, 9.5514 Å; angles 90.00, 90.00, 90.00 degrees
Space group Cmmm (No. 65)
One atom of each set of equivalent atoms:
Y: 0.0000 0.0000 0.0000 (multiplicity 2)
Mo: 0.0000 0.0000 0.5000 (multiplicity 2)
Pb: 0.0000 0.5000 0.2741 (multiplicity 4)

Results
* energy of formation: 1.40 eV/f.u.
* relative energy among the computed polymorphs: 0.1514 eV per atom

***

[4]
Entry from the Alexandria database: HoMgCo after structural relaxation (PBE).

Cell lengths 6.3028, 6.3028, 11.4605 Å; angles 90.00, 90.00, 120.00 degrees
Space group P6_222 (No. 180)
One atom of each set of equivalent atoms:
Ho: 0.0000 0.5000 0.3862 (multiplicity 6)
Mg: 0.0000 0.0000 0.1667 (multiplicity 3)
Mg: 0.0000 0.5000 0.6667 (multiplicity 3)
Co: 0.2031 0.6016 0.1667 (multiplicity 6)

Results
* energy of formation: 0.23 eV/f.u.

***

[5]
Entry from the Alexandria database: RbPt after structural relaxation (PBE).

Cell lengths 4.7533, 5.8295, 9.6185 Å; angles 90.00, 90.00, 90.00 degrees
Space group Imma (No. 74)
One atom of each set of equivalent atoms:
Rb: 0.0000 0.2500 0.0964 (multiplicity 4)
Pt: 0.0000 0.2500 0.7132 (multiplicity 4)

Results
* energy of formation: 0.01 eV/f.u.

***

[6]
Entry from the Alexandria database: YScSbO2 after structural relaxation (PBE).

Cell lengths 3.7594, 3.7594, 13.0339 Å; angles 90.00, 90.00, 90.00 degrees
Space group I4mm (No. 107)
One atom of each set of equivalent atoms:
Y: 0.0000 0.0000 0.0000 (multiplicity 2)
Sc: 0.0000 0.0000 0.6635 (multiplicity 2)
Sb: 0.0000 0.0000 0.3314 (multiplicity 2)
O: 0.0000 0.5000 0.0926 (multiplicity 4)

Results
* uncorrected formation energy: -2599 meV/atom

***

[7]
Entry from the Alexandria database: Rb3IrBr after structural relaxation (PBE).

Cell lengths 6.2604, 6.2604, 6.2604 Å; angles 90.00, 90.00, 90.00 degrees
Space group Pm-3m (No. 221)
One atom of each set of equivalent atoms:
Rb: 0.0000 0.0000 0.5000 (multiplicity 3)
Ir: 0.0000 0.0000 0.0000 (multiplicity 1)
Br: 0.5000 0.5000 0.5000 (multiplicity 1)

Results
* uncorrected formation energy: 31 meV/atom
* relative energy among the computed polymorphs: 0.0000 eV per atom

***

[8]
Entry from the Alexandria database: Li6LaAg4 after structural relaxation (PBE).

Cell lengths 7.6710, 7.6710, 4.2106 Å; angles 90.00, 90.00, 120.00 degrees
Space group P-6m2 (No. 187)
One atom of each set of equivalent atoms:
Li: 0.1997 0.3994 0.0000 (multiplicity 3)
Li: 0.2561 0.1281 0.5000 (multiplicity 3)
La: 0.6667 0.3333 0.0000 (multiplicity 1)
Ag: 0.0000 0.0000 0.0000 (multiplicity 1)
Ag: 0.0707 0.5353 0.5000 (multiplicity 3)

Results
* energy of formation: -1.59 eV/f.u.

***

[9]
Entry from the Alexandria database: Tb12AgPd6 after structural relaxation (PBE).

Cell lengths 13.1231, 13.1231, 11.0639 Å; angles 90.00, 90.00, 120.00 degrees
Space group R-3 (No. 148, hexagonal axes)
One atom of each set of equivalent atoms:
Tb: 0.0305 0.8188 0.3831 (multiplicity 18)
Tb: 0.0395 0.8244 0.8862 (multiplicity 18)
Ag: 0.0000 0.0000 0.0000 (multiplicity 3)
Pd: 0.0442 0.7826 0.6415 (multiplicity 18)

Results
* energy of formation: -8.06 eV/f.u.

***

[10]
Entry from the Alexandria database: KYTl after structural relaxation (PBE).

Cell lengths 3.8805, 3.8805, 15.1719 Å; angles 90.00, 90.00, 90.00 degrees
Space group I4mm (No. 107)
One atom of each set of equivalent atoms:
K: 0.0000 0.0000 0.0000 (multiplicity 2)
Y: 0.0000 0.0000 0.2736 (multiplicity 2)
Tl: 0.0000 0.0000 0.6712 (multiplicity 2)

Results
* energy of formation: 0.08 eV/f.u.
* relative energy among the computed polymorphs: 0.1625 eV per atom

***

[11]
Entry from the Alexandria database: TcCl after structural relaxation (PBE).

Cell lengths 9.2531, 3.1215, 6.9061 Å; angles 90.00, 110.88, 90.00 degrees
Space group C2/m (No. 12)
One atom of each set of equivalent atoms:
Tc: 0.1586 0.0000 0.0000 (multiplicity 4)
Cl: 0.0686 0.5000 0.2589 (multiplicity 4)

Results
* uncorrected formation energy: 394 meV/atom
* relative energy among the computed polymorphs: 0.5207 eV per atom

***

[12]
Entry from the Alexandria database: SiTeSeN2 after structural relaxation (PBE).

Cell lengths 3.8099, 3.8099, 7.6784 Å; angles 90.00, 90.00, 90.00 degrees
Space group P4/mmm (No. 123)
One atom of each set of equivalent atoms:
Si: 0.0000 0.0000 0.0000 (multiplicity 1)
Te: 0.5000 0.5000 0.0000 (multiplicity 1)
Se: 0.5000 0.5000 0.5000 (multiplicity 1)
N: 0.0000 0.5000 0.5000 (multiplicity 2)

Results
* uncorrected formation energy: 1644 meV/atom
* relative energy among the computed polymorphs: 0.8434 eV per atom

***

no.,M_tot (μB per atom),VASP energy (eV/atom)
1,0.00,-6.002
2,0.00,-3.277
3,0.25,-5.828
4,0.00,-4.351
5,0.00,-3.500
6,0.00,-7.965
7,0.20,-2.656
8,0.00,-2.673
9,0.00,-5.138
10,0.09,-3.281
11,0.00,-5.712
12,0.07,-4.096